Record 1
A plane-wave DFT calculation with PBE was carried out for a relaxed Dy2ErMg3Al2In crystal.

Calculated values
Crystal system: orthorhombic
Raw total energy: -3.52 eV per atom

Lattice parameters (Å, degrees): 4.592 7.368 7.368 119.82 90.00 90.00
Positions (direct):
In1 0.000 0.998 0.998
Mg1 0.500 0.754 0.000
Mg2 0.500 0.000 0.754
Mg3 0.500 0.246 0.246
Al1 0.500 0.334 0.666
Al2 0.500 0.666 0.334
Er1 0.000 0.562 0.562
Dy1 0.000 0.438 0.000
Dy2 0.000 0.000 0.438

Record 2
A plane-wave DFT calculation with PBE was carried out for a relaxed DyErAlIr2 crystal.

Calculated values
Crystal system: orthorhombic
Raw total energy: -7.08 eV per atom

Lattice parameters (Å, degrees): 5.531 5.531 5.531 136.61 116.42 80.11
Positions (direct):
Al1 0.000 0.000 0.000
Er1 0.698 0.198 0.500
Ir1 0.740 0.500 0.240
Ir2 0.260 0.500 0.760
Dy1 0.302 0.802 0.500

Record 3
A plane-wave DFT calculation with PBE was carried out for a relaxed Dy2ErMg4Al2 crystal.

Calculated values
Crystal system: orthorhombic
Raw total energy: -3.27 eV per atom

Lattice parameters (Å, degrees): 4.558 7.454 7.454 119.78 90.00 90.00
Positions (direct):
Mg1 0.000 0.001 0.001
Mg2 0.500 0.750 0.750
Mg3 0.500 0.250 0.000
Mg4 0.500 0.000 0.250
Al1 0.500 0.333 0.666
Al2 0.500 0.666 0.333
Er1 0.000 0.436 0.436
Dy1 0.000 0.563 0.000
Dy2 0.000 0.000 0.563

Record 4
A plane-wave DFT calculation with PBE was carried out for a relaxed DyEr2Mg4Al2 crystal.

Calculated values
Crystal system: orthorhombic
Raw total energy: -3.26 eV per atom

Lattice parameters (Å, degrees): 4.546 7.448 7.448 120.20 90.00 90.00
Positions (direct):
Mg1 0.500 0.249 0.000
Mg2 0.500 0.751 0.751
Mg3 0.500 0.000 0.249
Mg4 0.000 0.999 0.999
Al1 0.500 0.333 0.668
Al2 0.500 0.668 0.333
Er1 0.000 0.563 0.001
Er2 0.000 0.001 0.563
Dy1 0.000 0.437 0.437